one.
Here is a relaxed KLi3Sb crystal from Alexandria via LeMat-Bulk. Energies are from PBE.

Calculated values
- Fermi-level density of states (states/eV per cell) = 2.334
- SG = Pm-3m (221)
- calculated volume (Å³ per cell) = 152.4

Cell: 5.341 5.341 5.341 Å, 90.00 90.00 90.00°
Sites, in units of the cell vectors:
1 K 0.000 0.000 0.000
2 Li 0.000 0.500 0.500
3 Li 0.500 0.000 0.500
4 Li 0.500 0.500 0.000
5 Sb 0.500 0.500 0.500

***

two.
Here is a relaxed KLi3Sb crystal from Alexandria via LeMat-Bulk. Energies are from PBE.

Calculated values
- Fermi-level density of states (states/eV per cell) = 1.648
- SG = Pm-3m (221)
- calculated volume (Å³ per cell) = 134.5

Cell: 5.123 5.123 5.123 Å, 90.00 90.00 90.00°
Sites, in units of the cell vectors:
1 K 0.000 0.000 0.000
2 Li 0.000 0.000 0.500
3 Li 0.000 0.500 0.000
4 Li 0.500 0.000 0.000
5 Sb 0.500 0.500 0.500

***

If we sort the structures by their calculated energies, the order from most to least stable is one, two.

***

one.
Here is a relaxed KLi2Sb2 crystal from Alexandria via LeMat-Bulk. Energies are from PBE.

Calculated values
- Fermi-level density of states (states/eV per cell) = 3.874
- SG = Cmmm (65)
- calculated volume (Å³ per cell) = 291.4

Cell: 4.844 7.759 7.753 Å, 90.00 90.00 90.00°
Sites, in units of the cell vectors:
1 K 0.000 0.000 0.000
2 K 0.500 0.500 0.000
3 Li 0.000 0.167 0.500
4 Li 0.000 0.833 0.500
5 Li 0.500 0.333 0.500
6 Li 0.500 0.667 0.500
7 Sb 0.000 0.500 0.318
8 Sb 0.000 0.500 0.682
9 Sb 0.500 0.000 0.318
10 Sb 0.500 0.000 0.682

***

two.
Here is a relaxed KLi2Sb2 crystal from Alexandria via LeMat-Bulk. Energies are from PBE.

Calculated values
- Fermi-level density of states (states/eV per cell) = 5.038
- SG = Fddd (70)
- calculated volume (Å³ per cell) = 273.1

Cell: 9.924 8.464 6.602 Å, 81.39 57.48 41.13°
Sites, in units of the cell vectors:
1 K 0.125 0.125 0.125
2 K 0.875 0.875 0.875
3 Li 0.270 0.270 0.480
4 Li 0.480 0.480 0.270
5 Li 0.520 0.520 0.730
6 Li 0.730 0.730 0.520
7 Sb 0.176 0.574 0.176
8 Sb 0.426 0.824 0.426
9 Sb 0.574 0.176 0.574
10 Sb 0.824 0.426 0.824

***

three.
Here is a relaxed KLi2Sb2 crystal from Alexandria via LeMat-Bulk. Energies are from PBE.

Calculated values
- Fermi-level density of states (states/eV per cell) = 4.384
- SG = I4/mmm (139)
- calculated volume (Å³ per cell) = 273.9

Cell: 4.864 4.864 11.577 Å, 90.00 90.00 90.00°
Sites, in units of the cell vectors:
1 K 0.000 0.000 0.000
2 K 0.500 0.500 0.500
3 Li 0.000 0.500 0.250
4 Li 0.000 0.500 0.750
5 Li 0.500 0.000 0.250
6 Li 0.500 0.000 0.750
7 Sb 0.000 0.000 0.379
8 Sb 0.000 0.000 0.621
9 Sb 0.500 0.500 0.121
10 Sb 0.500 0.500 0.879

***

If we sort the structures by their calculated energies, the order from most to least stable is three, two, one.

***

one.
Here is a relaxed K2Li2Sb crystal from Alexandria via LeMat-Bulk. Energies are from PBE.

Calculated values
- Fermi-level density of states (states/eV per cell) = 3.372
- SG = R-3m (166)
- calculated volume (Å³ per cell) = 592.2

Cell: 4.741 4.741 30.424 Å, 90.00 90.00 120.00°
Sites, in units of the cell vectors:
1 K 0.000 0.000 0.070
2 K 0.000 0.000 0.930
3 K 0.333 0.667 0.596
4 K 0.333 0.667 0.737
5 K 0.667 0.333 0.263
6 K 0.667 0.333 0.404
7 Li 0.000 0.000 0.180
8 Li 0.000 0.000 0.820
9 Li 0.333 0.667 0.487
10 Li 0.333 0.667 0.847
11 Li 0.667 0.333 0.153
12 Li 0.667 0.333 0.513
13 Sb 0.000 0.000 0.500
14 Sb 0.333 0.667 0.167
15 Sb 0.667 0.333 0.833

***

two.
Here is a relaxed K2Li2Sb crystal from Alexandria via LeMat-Bulk. Energies are from PBE.

Calculated values
- Fermi-level density of states (states/eV per cell) = 2.607
- SG = P4/mbm (127)
- calculated volume (Å³ per cell) = 329.2

Cell: 7.491 7.491 5.866 Å, 90.00 90.00 90.00°
Sites, in units of the cell vectors:
1 K 0.200 0.300 0.000
2 K 0.300 0.800 0.000
3 K 0.700 0.200 0.000
4 K 0.800 0.700 0.000
5 Li 0.161 0.661 0.500
6 Li 0.339 0.161 0.500
7 Li 0.661 0.839 0.500
8 Li 0.839 0.339 0.500
9 Sb 0.000 0.000 0.500
10 Sb 0.500 0.500 0.500

***

If we sort the structures by their calculated energies, the order from most to least stable is one, two.